This record from Alexandria via LeMat-Bulk describes a relaxed structure of Pm4PbN. The functional is PBE.

Structure (POSCAR):
```
Pm4PbN
1.0
5.155 0.000 0.000
0.000 9.731 0.000
-0.001 0.000 7.230
Pm Pb N
8 2 2
Direct
0.249 0.250 0.211
0.250 0.055 0.721
0.250 0.445 0.721
0.250 0.750 0.078
0.750 0.250 0.922
0.750 0.555 0.279
0.750 0.945 0.279
0.751 0.750 0.789
0.251 0.750 0.518
0.749 0.250 0.482
0.249 0.250 0.896
0.751 0.750 0.104
```

Mass density = 7.34 g/cm3
Total DFT energy (no corrections) = -5.732 eV per atom
DOS(E_F) = 9.7 states/eV per cell
Formation energy from raw total energies = -3.36 eV/f.u.

***

This record from Alexandria via LeMat-Bulk describes a relaxed structure of LiLa3Y. The functional is PBE.

Structure (POSCAR):
```
LiLa3Y
1.0
5.997 0.000 0.000
0.000 5.997 0.000
0.000 0.000 5.997
Li La Y
1 3 1
Direct
0.000 0.000 0.000
0.000 0.500 0.500
0.500 0.000 0.500
0.500 0.500 0.000
0.500 0.500 0.500
```

Mass density = 3.95 g/cm3
E_form = 0.636 eV/atom
Total DFT energy (no corrections) = -3.996 eV per atom
DOS(E_F) = 6.7 states/eV per cell
Energy above the lowest structure with this stoichiometry = 0.222 eV/atom

***

This record from Alexandria via LeMat-Bulk describes a relaxed structure of Cr2TcRh3. The functional is PBE.

Structure (POSCAR):
```
Cr2TcRh3
1.0
2.697 0.000 0.000
0.000 12.920 0.000
0.000 0.000 4.643
Cr Tc Rh
4 2 6
Direct
0.250 0.087 0.089
0.250 0.413 0.089
0.750 0.587 0.911
0.750 0.913 0.911
0.250 0.750 0.749
0.750 0.250 0.251
0.250 0.250 0.754
0.250 0.582 0.405
0.250 0.918 0.405
0.750 0.082 0.595
0.750 0.418 0.595
0.750 0.750 0.246
```

Mass density = 10.48 g/cm3
E_form = 0.004 eV/atom
Total DFT energy (no corrections) = -8.608 eV per atom
DOS(E_F) = 14.1 states/eV per cell

***

This record from Alexandria via LeMat-Bulk describes a relaxed structure of Ba2MgTl6Ag. The functional is PBE.

Structure (POSCAR):
```
Ba2MgTl6Ag
1.0
7.155 -3.179 0.000
7.155 3.179 0.000
-6.717 0.000 7.203
Ba Mg Tl Ag
2 1 6 1
Direct
0.011 0.011 0.267
0.989 0.989 0.733
0.500 0.500 0.000
0.004 0.498 0.282
0.337 0.337 0.089
0.498 0.004 0.282
0.502 0.996 0.718
0.663 0.663 0.911
0.996 0.502 0.718
0.500 0.500 0.500
```

Mass density = 8.28 g/cm3
E_form = -0.164 eV/atom
Total DFT energy (no corrections) = -2.413 eV per atom
DOS(E_F) = 4.4 states/eV per cell